Entry from Alexandria: a PBEsol-optimized structure of La2Te3MoO12 (SCAN).

Properties
- calculated total energy (eV/f.u.) = -347.49
- symmetry = Pnma
- formation energy from raw total energies (meV per atom) = -2215

abc: 7.309 11.652 13.420
angles: 90.00 90.00 90.00
Sites, in units of the cell vectors:
La 0.410 0.415 0.869
La 0.590 0.915 0.131
La 0.410 0.085 0.869
La 0.910 0.415 0.631
La 0.910 0.085 0.631
La 0.590 0.585 0.131
La 0.090 0.585 0.369
La 0.090 0.915 0.369
Te 0.347 0.954 0.620
Te 0.534 0.750 0.384
Te 0.653 0.454 0.380
Te 0.847 0.954 0.880
Te 0.347 0.546 0.620
Te 0.034 0.750 0.116
Te 0.966 0.250 0.884
Te 0.153 0.454 0.120
Te 0.466 0.250 0.616
Te 0.153 0.046 0.120
Te 0.653 0.046 0.380
Te 0.847 0.546 0.880
Mo 0.353 0.750 0.902
Mo 0.853 0.750 0.598
Mo 0.647 0.250 0.098
Mo 0.147 0.250 0.402
O 0.173 0.498 0.526
O 0.173 0.002 0.526
O 0.057 0.250 0.526
O 0.230 0.458 0.719
O 0.217 0.250 0.917
O 0.925 0.873 0.664
O 0.783 0.750 0.083
O 0.075 0.373 0.336
O 0.614 0.750 0.585
O 0.673 0.002 0.974
O 0.470 0.931 0.404
O 0.730 0.458 0.781
O 0.530 0.069 0.596
O 0.730 0.042 0.781
O 0.673 0.498 0.974
O 0.557 0.250 0.974
O 0.327 0.998 0.026
O 0.770 0.958 0.281
O 0.491 0.250 0.756
O 0.270 0.958 0.219
O 0.230 0.042 0.719
O 0.717 0.250 0.583
O 0.443 0.750 0.026
O 0.530 0.431 0.596
O 0.030 0.069 0.904
O 0.114 0.750 0.915
O 0.575 0.373 0.164
O 0.827 0.998 0.474
O 0.075 0.127 0.336
O 0.925 0.627 0.664
O 0.425 0.873 0.836
O 0.470 0.569 0.404
O 0.509 0.750 0.244
O 0.327 0.502 0.026
O 0.283 0.750 0.417
O 0.270 0.542 0.219
O 0.386 0.250 0.415
O 0.575 0.127 0.164
O 0.886 0.250 0.085
O 0.770 0.542 0.281
O 0.970 0.569 0.096
O 0.970 0.931 0.096
O 0.425 0.627 0.836
O 0.009 0.750 0.256
O 0.943 0.750 0.474
O 0.827 0.502 0.474
O 0.030 0.431 0.904
O 0.991 0.250 0.744